(1)
A plane-wave DFT calculation with meta-GGA SCAN was carried out for a crystal of ZrNi4Sb relaxed with PBEsol.

a b c (Å): 4.8395 4.8395 4.8395
angles (deg): 60.00 60.00 60.00
With the nearest neighbours (Å) after each atom.
Fractional coordinates of all 6 atoms:
Ni1 0.3744 0.3744 0.3744  6 Ni 2.41-2.43
Ni2 0.3744 0.3744 0.8769  6 Ni 2.41-2.43
Ni3 0.8769 0.3744 0.3744  6 Ni 2.41-2.43
Ni4 0.3744 0.8769 0.3744  6 Ni 2.41-2.43
Sb1 0.7500 0.7500 0.7500  12 Ni 2.84, 4 Zr 2.96
Zr1 0.0000 0.0000 0.0000  12 Ni 2.84, 4 Sb 2.96

Computed properties:
- energy (eV per atom) = -22.4701
- DOS at the Fermi energy (states/eV/cell) = 0.80
- ρ (g/cm³) = 9.3
- calculated volume (Å³ per cell) = 80.1
- formation energy (no corrections) (eV per atom) = -0.361



(2)
A plane-wave DFT calculation with meta-GGA SCAN was carried out for a crystal of ZrNiSb2 relaxed with PBEsol.

a b c (Å): 4.8027 4.8027 4.8027
angles (deg): 60.00 60.00 60.00
With the nearest neighbours (Å) after each atom.
Fractional coordinates of all 4 atoms:
Ni1 0.0000 0.0000 0.0000  8 Sb 2.94
Sb1 0.7500 0.7500 0.7500  4 Ni 2.94, 4 Zr 2.94
Sb2 0.2500 0.2500 0.2500  4 Zr 2.94, 4 Ni 2.94
Zr1 0.5000 0.5000 0.5000  8 Sb 2.94

Computed properties:
- energy (eV per atom) = -30.3739
- DOS at the Fermi energy (states/eV/cell) = 1.43
- ρ (g/cm³) = 8.3
- calculated volume (Å³ per cell) = 78.3
- formation energy (no corrections) (eV per atom) = -0.026



(3)
A plane-wave DFT calculation with meta-GGA SCAN was carried out for a crystal of ZrNi6Sb relaxed with PBEsol.

a b c (Å): 6.3846 6.3846 10.4068
angles (deg): 90.00 90.00 109.52
With the nearest neighbours (Å) after each atom.
Fractional coordinates of all 32 atoms:
Ni1 0.2509 0.7491 0.7497  2 Zr 2.60-2.61, 2 Sb 2.60-2.62, 8 Ni 2.60-2.61
Ni2 0.8757 0.6252 0.8749  3 Zr 2.59-2.62, 1 Sb 2.60, 8 Ni 2.60-2.61
Ni3 0.1243 0.3748 0.8749  3 Zr 2.59-2.62, 1 Sb 2.60, 8 Ni 2.60-2.61
Ni4 0.7491 0.2509 0.7497  2 Zr 2.60-2.61, 2 Sb 2.60-2.62, 8 Ni 2.60-2.61
Ni5 0.3748 0.1243 0.8749  3 Zr 2.59-2.62, 1 Sb 2.60, 8 Ni 2.60-2.61
Ni6 0.6252 0.8757 0.8749  3 Zr 2.59-2.62, 1 Sb 2.60, 8 Ni 2.60-2.61
Ni7 0.5000 0.5000 0.5000  2 Sb 2.56, 8 Ni 2.61, 2 Zr 2.61
Ni8 0.1242 0.3723 0.6246  8 Ni 2.59-2.63, 3 Sb 2.59-2.62, 1 Zr 2.61
Ni9 0.3723 0.1242 0.6246  8 Ni 2.59-2.63, 3 Sb 2.59-2.62, 1 Zr 2.61
Ni10 0.2509 0.7491 0.2503  2 Zr 2.60-2.61, 2 Sb 2.60-2.62, 8 Ni 2.60-2.61
Ni11 0.8758 0.6277 0.3754  8 Ni 2.59-2.63, 3 Sb 2.59-2.62, 1 Zr 2.61
Ni12 0.1242 0.3723 0.3754  8 Ni 2.59-2.63, 3 Sb 2.59-2.62, 1 Zr 2.61
Ni13 0.7491 0.2509 0.2503  2 Zr 2.60-2.61, 2 Sb 2.60-2.62, 8 Ni 2.60-2.61
Ni14 0.3723 0.1242 0.3754  8 Ni 2.59-2.63, 3 Sb 2.59-2.62, 1 Zr 2.61
Ni15 0.6277 0.8758 0.3754  8 Ni 2.59-2.63, 3 Sb 2.59-2.62, 1 Zr 2.61
Ni16 0.5000 0.5000 0.0000  4 Zr 2.57-2.59, 8 Ni 2.61
Ni17 0.1243 0.3748 0.1251  3 Zr 2.59-2.62, 1 Sb 2.60, 8 Ni 2.60-2.61
Ni18 0.3748 0.1243 0.1251  3 Zr 2.59-2.62, 1 Sb 2.60, 8 Ni 2.60-2.61
Ni19 0.0000 0.0000 0.5000  8 Ni 2.59, 4 Sb 2.61-2.66
Ni20 0.6277 0.8758 0.6246  8 Ni 2.59-2.63, 3 Sb 2.59-2.62, 1 Zr 2.61
Ni21 0.8758 0.6277 0.6246  8 Ni 2.59-2.63, 3 Sb 2.59-2.62, 1 Zr 2.61
Ni22 0.0000 0.0000 0.0000  2 Sb 2.59, 8 Ni 2.60, 2 Zr 2.65
Ni23 0.6252 0.8757 0.1251  3 Zr 2.59-2.62, 1 Sb 2.60, 8 Ni 2.60-2.61
Ni24 0.8757 0.6252 0.1251  3 Zr 2.59-2.62, 1 Sb 2.60, 8 Ni 2.60-2.61
Sb1 0.2548 0.7452 0.5000  12 Ni 2.56-2.66
Sb2 0.7452 0.2548 0.5000  12 Ni 2.56-2.66
Sb3 0.0000 0.0000 0.7513  12 Ni 2.59-2.62
Sb4 0.0000 0.0000 0.2487  12 Ni 2.59-2.62
Zr1 0.2540 0.7460 0.0000  12 Ni 2.57-2.65
Zr2 0.7460 0.2540 0.0000  12 Ni 2.57-2.65
Zr3 0.5000 0.5000 0.7507  12 Ni 2.59-2.61
Zr4 0.5000 0.5000 0.2493  12 Ni 2.59-2.61

Computed properties:
- energy (eV per atom) = -20.8797
- DOS at the Fermi energy (states/eV/cell) = 13.15
- ρ (g/cm³) = 9.4
- calculated volume (Å³ per cell) = 399.8
- formation energy (no corrections) (eV per atom) = -0.255



(4)
A plane-wave DFT calculation with meta-GGA SCAN was carried out for a crystal of ZrNi2Sb relaxed with PBEsol.

a b c (Å): 4.1840 4.1840 8.1703
angles (deg): 90.00 90.00 120.00
With the nearest neighbours (Å) after each atom.
Fractional coordinates of all 8 atoms:
Ni1 0.3333 0.6667 0.4047  1 Ni 2.53, 3 Sb 2.54, 4 Zr 2.73-2.82
Ni2 0.6667 0.3333 0.9047  1 Ni 2.53, 3 Sb 2.54, 4 Zr 2.73-2.82
Ni3 0.6667 0.3333 0.5953  1 Ni 2.53, 3 Sb 2.54, 4 Zr 2.73-2.82
Ni4 0.3333 0.6667 0.0953  1 Ni 2.53, 3 Sb 2.54, 4 Zr 2.73-2.82
Sb1 0.0000 0.0000 0.0000  6 Ni 2.54
Sb2 0.0000 0.0000 0.5000  6 Ni 2.54
Zr1 0.3333 0.6667 0.7500  8 Ni 2.73-2.82
Zr2 0.6667 0.3333 0.2500  8 Ni 2.73-2.82

Computed properties:
- energy (eV per atom) = -25.7184
- DOS at the Fermi energy (states/eV/cell) = 6.47
- ρ (g/cm³) = 8.9
- calculated volume (Å³ per cell) = 123.9
- formation energy (no corrections) (eV per atom) = -0.642



(5)
A plane-wave DFT calculation with meta-GGA SCAN was carried out for a crystal of ZrNiSb2 relaxed with PBEsol.

a b c (Å): 3.6384 4.9741 5.2962
angles (deg): 118.01 110.09 90.00
With the nearest neighbours (Å) after each atom.
Fractional coordinates of all 4 atoms:
Ni1 0.5000 0.0000 0.0000  4 Sb 2.59
Sb1 0.7861 0.7861 0.5721  2 Ni 2.59
Sb2 0.2139 0.2139 0.4279  2 Ni 2.59
Zr1 0.0000 0.5000 0.0000  8 Sb 3.06-3.10, 4 Ni 3.08

Computed properties:
- energy (eV per atom) = -30.4954
- DOS at the Fermi energy (states/eV/cell) = 3.76
- ρ (g/cm³) = 8.4
- calculated volume (Å³ per cell) = 78.0
- formation energy (no corrections) (eV per atom) = -0.147



(6)
A plane-wave DFT calculation with meta-GGA SCAN was carried out for a crystal of Zr6NiSb2 relaxed with PBEsol.

a b c (Å): 3.6222 7.7104 7.7104
angles (deg): 120.00 90.00 90.00
With the nearest neighbours (Å) after each atom.
Fractional coordinates of all 9 atoms:
Sb1 0.5000 0.3333 0.6667  9 Zr 2.97-2.99
Sb2 0.5000 0.6667 0.3333  9 Zr 2.97-2.99
Zr1 0.5000 0.2414 0.0000  2 Ni 2.60
Zr2 0.5000 0.0000 0.2414  2 Ni 2.60
Zr3 0.5000 0.7586 0.7586  2 Ni 2.60
Zr4 0.0000 0.4023 0.4023  4 Sb 2.97, 1 Ni 3.10, 6 Zr 3.25-3.29
Zr5 0.0000 0.0000 0.5977  4 Sb 2.97, 1 Ni 3.10, 6 Zr 3.25-3.29
Zr6 0.0000 0.5977 0.0000  4 Sb 2.97, 1 Ni 3.10, 6 Zr 3.25-3.29
Ni1 0.0000 0.0000 0.0000  6 Zr 2.60

Computed properties:
- energy (eV per atom) = -31.2172
- DOS at the Fermi energy (states/eV/cell) = 6.31
- ρ (g/cm³) = 7.6
- calculated volume (Å³ per cell) = 186.5
- formation energy (no corrections) (eV per atom) = -0.674



(7)
A plane-wave DFT calculation with meta-GGA SCAN was carried out for a crystal of ZrNiSb relaxed with PBEsol.

a b c (Å): 4.1303 6.6801 7.5620
angles (deg): 90.00 90.00 90.00
With the nearest neighbours (Å) after each atom.
Fractional coordinates of all 12 atoms:
Zr1 0.2500 0.9999 0.8063  6 Ni 2.91-3.23, 5 Sb 2.92-2.96
Zr2 0.7500 0.0001 0.1937  6 Ni 2.91-3.23, 5 Sb 2.92-2.96
Zr3 0.2500 0.4999 0.6937  6 Ni 2.91-3.23, 5 Sb 2.92-2.96
Zr4 0.7500 0.5001 0.3063  6 Ni 2.91-3.23, 5 Sb 2.92-2.96
Ni1 0.7500 0.3161 0.9115  4 Sb 2.48-2.60
Ni2 0.2500 0.6839 0.0885  4 Sb 2.48-2.60
Ni3 0.7500 0.8161 0.5885  4 Sb 2.48-2.60
Ni4 0.2500 0.1839 0.4115  4 Sb 2.48-2.60
Sb1 0.7500 0.2054 0.5922  4 Ni 2.48-2.60
Sb2 0.2500 0.7946 0.4078  4 Ni 2.48-2.60
Sb3 0.7500 0.7054 0.9078  4 Ni 2.48-2.60
Sb4 0.2500 0.2946 0.0922  4 Ni 2.48-2.60

Computed properties:
- energy (eV per atom) = -28.7756
- DOS at the Fermi energy (states/eV/cell) = 5.68
- ρ (g/cm³) = 8.6
- calculated volume (Å³ per cell) = 208.6
- formation energy (no corrections) (eV per atom) = -0.731



(8)
A plane-wave DFT calculation with meta-GGA SCAN was carried out for a crystal of Zr3NiSb7 relaxed with PBEsol.

a b c (Å): 3.9009 14.2780 17.4732
angles (deg): 90.00 90.00 90.00
With the nearest neighbours (Å) after each atom.
Fractional coordinates of all 44 atoms:
Ni1 0.7500 0.3107 0.4368  6 Sb 2.54-2.70
Ni2 0.2500 0.8107 0.0632  6 Sb 2.54-2.70
Ni3 0.2500 0.6893 0.5632  6 Sb 2.54-2.70
Ni4 0.7500 0.1893 0.9368  6 Sb 2.54-2.70
Sb1 0.7500 0.7022 0.0208  2 Ni 2.60
Sb2 0.2500 0.2022 0.4792  2 Ni 2.60
Sb3 0.2500 0.2978 0.9792  2 Ni 2.60
Sb4 0.7500 0.7978 0.5208  2 Ni 2.60
Sb5 0.7500 0.9235 0.0373  2 Ni 2.57
Sb6 0.2500 0.4235 0.4627  2 Ni 2.57
Sb7 0.2500 0.0765 0.9627  2 Ni 2.57
Sb8 0.7500 0.5765 0.5373  2 Ni 2.57
Sb9 0.7500 0.4398 0.0707  5 Zr 2.98-3.15, 2 Sb 3.24
Sb10 0.2500 0.9398 0.4293  5 Zr 2.98-3.15, 2 Sb 3.24
Sb11 0.2500 0.5602 0.9293  5 Zr 2.98-3.15, 2 Sb 3.24
Sb12 0.7500 0.0602 0.5707  5 Zr 2.98-3.15, 2 Sb 3.24
Sb13 0.7500 0.1747 0.0909  1 Ni 2.70, 4 Zr 2.94-2.95
Sb14 0.2500 0.6747 0.4091  1 Ni 2.70, 4 Zr 2.94-2.95
Sb15 0.2500 0.8253 0.9091  1 Ni 2.70, 4 Zr 2.94-2.95
Sb16 0.7500 0.3253 0.5909  1 Ni 2.70, 4 Zr 2.94-2.95
Sb17 0.7500 0.6458 0.2283  4 Zr 2.97-3.11, 4 Sb 3.10-3.12
Sb18 0.2500 0.1458 0.2717  4 Zr 2.97-3.11, 4 Sb 3.10-3.12
Sb19 0.2500 0.3542 0.7717  4 Zr 2.97-3.11, 4 Sb 3.10-3.12
Sb20 0.7500 0.8542 0.7283  4 Zr 2.97-3.11, 4 Sb 3.10-3.12
Sb21 0.7500 0.9790 0.2483  4 Zr 2.93-2.98, 4 Sb 3.10-3.13
Sb22 0.2500 0.4790 0.2517  4 Zr 2.93-2.98, 4 Sb 3.10-3.13
Sb23 0.2500 0.0210 0.7517  4 Zr 2.93-2.98, 4 Sb 3.10-3.13
Sb24 0.7500 0.5210 0.7483  4 Zr 2.93-2.98, 4 Sb 3.10-3.13
Sb25 0.7500 0.3148 0.2913  1 Ni 2.54
Sb26 0.2500 0.8148 0.2087  1 Ni 2.54
Sb27 0.2500 0.6852 0.7087  1 Ni 2.54
Sb28 0.7500 0.1852 0.7913  1 Ni 2.54
Zr1 0.7500 0.8090 0.3459  9 Sb 2.95-3.11
Zr2 0.2500 0.3090 0.1541  9 Sb 2.95-3.11
Zr3 0.2500 0.1910 0.6541  9 Sb 2.95-3.11
Zr4 0.7500 0.6910 0.8459  9 Sb 2.95-3.11
Zr5 0.7500 0.5283 0.3702  8 Sb 2.93-3.00
Zr6 0.2500 0.0283 0.1298  8 Sb 2.93-3.00
Zr7 0.2500 0.4717 0.6298  8 Sb 2.93-3.00
Zr8 0.7500 0.9717 0.8702  8 Sb 2.93-3.00
Zr9 0.7500 0.0912 0.3921  8 Sb 2.94-3.15, 1 Ni 3.23
Zr10 0.2500 0.5912 0.1079  8 Sb 2.94-3.15, 1 Ni 3.23
Zr11 0.2500 0.9088 0.6079  8 Sb 2.94-3.15, 1 Ni 3.23
Zr12 0.7500 0.4088 0.8921  8 Sb 2.94-3.15, 1 Ni 3.23

Computed properties:
- energy (eV per atom) = -34.1200
- DOS at the Fermi energy (states/eV/cell) = 13.17
- ρ (g/cm³) = 8.1
- calculated volume (Å³ per cell) = 973.2
- formation energy (no corrections) (eV per atom) = -0.566



(9)
A plane-wave DFT calculation with meta-GGA SCAN was carried out for a crystal of ZrNiSb relaxed with PBEsol.

a b c (Å): 3.2316 3.2316 5.6605
angles (deg): 106.59 106.59 90.00
With the nearest neighbours (Å) after each atom.
Fractional coordinates of all 3 atoms:
Ni1 0.9973 0.9973 0.9945  4 Zr 2.72, 4 Sb 2.76
Sb1 0.6472 0.6472 0.2944  4 Ni 2.76, 1 Zr 3.02
Zr1 0.3555 0.3555 0.7110  4 Ni 2.72, 1 Sb 3.02

Computed properties:
- energy (eV per atom) = -28.3387
- DOS at the Fermi energy (states/eV/cell) = 2.63
- ρ (g/cm³) = 8.3
- calculated volume (Å³ per cell) = 54.1
- formation energy (no corrections) (eV per atom) = -0.294



(10)
A plane-wave DFT calculation with meta-GGA SCAN was carried out for a crystal of Zr7NiSb3 relaxed with PBEsol.

a b c (Å): 3.8737 14.5364 16.5666
angles (deg): 90.00 90.00 90.00
With the nearest neighbours (Å) after each atom.
Fractional coordinates of all 44 atoms:
Ni1 0.7500 0.2785 0.4245  3 Zr 2.41-2.52, 1 Sb 2.69
Ni2 0.2500 0.7785 0.0755  3 Zr 2.41-2.52, 1 Sb 2.69
Ni3 0.2500 0.7215 0.5755  3 Zr 2.41-2.52, 1 Sb 2.69
Ni4 0.7500 0.2215 0.9245  3 Zr 2.41-2.52, 1 Sb 2.69
Sb1 0.7500 0.8244 0.3360  9 Zr 2.88-2.99
Sb2 0.2500 0.3244 0.1640  9 Zr 2.88-2.99
Sb3 0.2500 0.1756 0.6640  9 Zr 2.88-2.99
Sb4 0.7500 0.6756 0.8360  9 Zr 2.88-2.99
Sb5 0.7500 0.5384 0.3720  8 Zr 2.87-3.05
Sb6 0.2500 0.0384 0.1280  8 Zr 2.87-3.05
Sb7 0.2500 0.4616 0.6280  8 Zr 2.87-3.05
Sb8 0.7500 0.9616 0.8720  8 Zr 2.87-3.05
Sb9 0.7500 0.0950 0.4035  1 Ni 2.69, 7 Zr 2.82-2.97
Sb10 0.2500 0.5950 0.0965  1 Ni 2.69, 7 Zr 2.82-2.97
Sb11 0.2500 0.9050 0.5965  1 Ni 2.69, 7 Zr 2.82-2.97
Sb12 0.7500 0.4050 0.9035  1 Ni 2.69, 7 Zr 2.82-2.97
Zr1 0.7500 0.6975 0.0088  2 Ni 2.52
Zr2 0.2500 0.1975 0.4912  2 Ni 2.52
Zr3 0.2500 0.3025 0.9912  2 Ni 2.52
Zr4 0.7500 0.8025 0.5088  2 Ni 2.52
Zr5 0.7500 0.9110 0.0479  2 Ni 2.77, 3 Sb 2.99-3.00
Zr6 0.2500 0.4110 0.4521  2 Ni 2.77, 3 Sb 2.99-3.00
Zr7 0.2500 0.0890 0.9521  2 Ni 2.77, 3 Sb 2.99-3.00
Zr8 0.7500 0.5890 0.5479  2 Ni 2.77, 3 Sb 2.99-3.00
Zr9 0.7500 0.4480 0.0819  5 Sb 2.89-3.02, 2 Zr 3.24
Zr10 0.2500 0.9480 0.4181  5 Sb 2.89-3.02, 2 Zr 3.24
Zr11 0.2500 0.5520 0.9181  5 Sb 2.89-3.02, 2 Zr 3.24
Zr12 0.7500 0.0520 0.5819  5 Sb 2.89-3.02, 2 Zr 3.24
Zr13 0.7500 0.1863 0.1058  4 Sb 2.92-2.95, 1 Ni 3.05, 2 Zr 3.20
Zr14 0.2500 0.6863 0.3942  4 Sb 2.92-2.95, 1 Ni 3.05, 2 Zr 3.20
Zr15 0.2500 0.8137 0.8942  4 Sb 2.92-2.95, 1 Ni 3.05, 2 Zr 3.20
Zr16 0.7500 0.3137 0.6058  4 Sb 2.92-2.95, 1 Ni 3.05, 2 Zr 3.20
Zr17 0.7500 0.6722 0.2146  4 Sb 2.97-3.25, 4 Zr 3.16-3.22
Zr18 0.2500 0.1722 0.2854  4 Sb 2.97-3.25, 4 Zr 3.16-3.22
Zr19 0.2500 0.3278 0.7854  4 Sb 2.97-3.25, 4 Zr 3.16-3.22
Zr20 0.7500 0.8278 0.7146  4 Sb 2.97-3.25, 4 Zr 3.16-3.22
Zr21 0.7500 0.0045 0.2527  4 Sb 2.82-2.96, 4 Zr 3.07-3.16
Zr22 0.2500 0.5045 0.2473  4 Sb 2.82-2.96, 4 Zr 3.07-3.16
Zr23 0.2500 0.9955 0.7473  4 Sb 2.82-2.96, 4 Zr 3.07-3.16
Zr24 0.7500 0.4955 0.7527  4 Sb 2.82-2.96, 4 Zr 3.07-3.16
Zr25 0.7500 0.3491 0.2926  1 Ni 2.41
Zr26 0.2500 0.8491 0.2074  1 Ni 2.41
Zr27 0.2500 0.6509 0.7074  1 Ni 2.41
Zr28 0.7500 0.1509 0.7926  1 Ni 2.41

Computed properties:
- energy (eV per atom) = -31.8122
- DOS at the Fermi energy (states/eV/cell) = 29.25
- ρ (g/cm³) = 7.6
- calculated volume (Å³ per cell) = 932.9
- formation energy (no corrections) (eV per atom) = -0.644



> The lowest calculated volume belongs to which entry?

number 9